VASP calculation (PBE-GGA) on crystalline Tb6PrDy2Tm3 at its relaxed geometry.

a = 6.149 Å, b = 6.149 Å, c = 11.767 Å
α = 94.98°, β = 94.98°, γ = 119.95°
Sites, in units of the cell vectors:
Tb1 0.081 0.415 0.247
Tb2 0.251 0.251 0.753
Tb3 0.415 0.081 0.247
Tb4 0.585 0.919 0.753
Tb5 0.749 0.749 0.247
Tb6 0.919 0.585 0.753
Pr1 0.500 0.500 0.500
Dy1 0.167 0.833 0.500
Dy2 0.833 0.167 0.500
Tm1 0.000 0.000 0.000
Tm2 0.333 0.667 0.000
Tm3 0.667 0.333 0.000

## Properties
Space-group type: C2/m (12)
ρ, g/cm3: 8.4
Formation energy, eV per atom: 0.0189



VASP calculation (PBE-GGA) on crystalline SrTl4Hg15 at its relaxed geometry.

a = 4.801 Å, b = 4.801 Å, c = 24.634 Å
α = 90.00°, β = 90.00°, γ = 90.00°
Sites, in units of the cell vectors:
Sr1 0.000 0.000 0.000
Tl1 0.000 0.000 0.204
Tl2 0.000 0.000 0.402
Tl3 0.000 0.000 0.598
Tl4 0.000 0.000 0.796
Hg1 0.000 0.500 0.101
Hg2 0.000 0.500 0.301
Hg3 0.000 0.500 0.500
Hg4 0.000 0.500 0.699
Hg5 0.000 0.500 0.899
Hg6 0.500 0.000 0.101
Hg7 0.500 0.000 0.301
Hg8 0.500 0.000 0.500
Hg9 0.500 0.000 0.699
Hg10 0.500 0.000 0.899
Hg11 0.500 0.500 0.000
Hg12 0.500 0.500 0.197
Hg13 0.500 0.500 0.398
Hg14 0.500 0.500 0.602
Hg15 0.500 0.500 0.803

## Properties
Space-group type: P4/mmm (123)
ρ, g/cm3: 11.4
Formation energy, eV per atom: -0.0993



VASP calculation (PBE-GGA) on crystalline CsMgPC at its relaxed geometry.

a = 3.080 Å, b = 4.870 Å, c = 6.904 Å
α = 109.77°, β = 90.34°, γ = 90.28°
Sites, in units of the cell vectors:
Cs1 0.000 0.000 0.000
Mg1 0.485 0.305 0.575
P1 0.484 0.733 0.411
C1 0.983 0.545 0.443

## Properties
Space-group type: P1 (1)
Excess energy over the best structure of this formula in the dataset, meV per atom: 91.5
ρ, g/cm3: 3.4
Formation energy, eV per atom: 0.3471



VASP calculation (PBE-GGA) on crystalline KUAgS4 at its relaxed geometry.

a = 6.631 Å, b = 6.812 Å, c = 8.121 Å
α = 90.00°, β = 93.95°, γ = 90.00°
Sites, in units of the cell vectors:
K1 0.218 0.250 0.051
K2 0.782 0.750 0.949
U1 0.177 0.750 0.451
U2 0.823 0.250 0.549
Ag1 0.335 0.250 0.641
Ag2 0.665 0.750 0.359
S1 0.069 0.510 0.697
S2 0.069 0.990 0.697
S3 0.342 0.750 0.181
S4 0.494 0.250 0.378
S5 0.506 0.750 0.622
S6 0.658 0.250 0.819
S7 0.931 0.010 0.303
S8 0.931 0.490 0.303

## Properties
Space-group type: P2_1/m (11)
ΔE_f (raw), eV per atom: -0.90
ρ, g/cm3: 4.7



VASP calculation (PBE-GGA) on crystalline SrZnGa4 at its relaxed geometry.

a = 5.687 Å, b = 5.687 Å, c = 5.687 Å
α = 60.00°, β = 60.00°, γ = 60.00°
Sites, in units of the cell vectors:
Sr1 0.000 0.000 0.000
Zn1 0.750 0.750 0.750
Ga1 0.376 0.376 0.376
Ga2 0.376 0.376 0.873
Ga3 0.376 0.873 0.376
Ga4 0.873 0.376 0.376

## Properties
Space-group type: F-43m (216)
Excess energy over the best structure of this formula in the dataset, meV per atom: 84.7
ρ, g/cm3: 5.5
Formation energy, eV per atom: -0.1367



VASP calculation (PBE-GGA) on crystalline Zr8As5 at its relaxed geometry.

a = 3.738 Å, b = 10.184 Å, c = 28.709 Å
α = 90.00°, β = 90.00°, γ = 90.00°
Sites, in units of the cell vectors:
Zr1 0.000 0.005 0.019
Zr2 0.000 0.169 0.906
Zr3 0.000 0.248 0.736
Zr4 0.000 0.260 0.178
Zr5 0.000 0.334 0.564
Zr6 0.000 0.492 0.451
Zr7 0.000 0.508 0.951
Zr8 0.000 0.666 0.064
Zr9 0.000 0.740 0.678
Zr10 0.000 0.752 0.236
Zr11 0.000 0.831 0.406
Zr12 0.000 0.995 0.519
Zr13 0.500 0.025 0.244
Zr14 0.500 0.079 0.116
Zr15 0.500 0.084 0.362
Zr16 0.500 0.237 0.653
Zr17 0.500 0.241 0.471
Zr18 0.500 0.259 0.000
Zr19 0.500 0.264 0.818
Zr20 0.500 0.417 0.353
Zr21 0.500 0.418 0.108
Zr22 0.500 0.481 0.227
Zr23 0.500 0.519 0.727
Zr24 0.500 0.582 0.608
Zr25 0.500 0.583 0.853
Zr26 0.500 0.736 0.318
Zr27 0.500 0.741 0.500
Zr28 0.500 0.759 0.971
Zr29 0.500 0.763 0.153
Zr30 0.500 0.916 0.862
Zr31 0.500 0.921 0.616
Zr32 0.500 0.975 0.744
As1 0.000 0.030 0.676
As2 0.000 0.063 0.813
As3 0.000 0.236 0.073
As4 0.000 0.263 0.398
As5 0.000 0.441 0.659
As6 0.000 0.468 0.795
As7 0.000 0.532 0.295
As8 0.000 0.559 0.159
As9 0.000 0.737 0.898
As10 0.000 0.764 0.573
As11 0.000 0.937 0.313
As12 0.000 0.970 0.176
As13 0.500 0.018 0.949
As14 0.500 0.142 0.564
As15 0.500 0.363 0.905
As16 0.500 0.481 0.520
As17 0.500 0.519 0.020
As18 0.500 0.637 0.405
As19 0.500 0.858 0.064
As20 0.500 0.982 0.449

## Properties
Space-group type: Pmc2_1 (26)
Excess energy over the best structure of this formula in the dataset, meV per atom: 15.4
ρ, g/cm3: 6.7
Formation energy, eV per atom: -0.9462



VASP calculation (PBE-GGA) on crystalline YRuBr at its relaxed geometry.

a = 4.522 Å, b = 4.522 Å, c = 4.522 Å
α = 60.00°, β = 60.00°, γ = 60.00°
Sites, in units of the cell vectors:
Y1 0.000 0.000 0.000
Ru1 0.250 0.250 0.250
Br1 0.500 0.500 0.500

## Properties
Space-group type: F-43m (216)
Excess energy over the best structure of this formula in the dataset, meV per atom: 927.6
ΔE_f (raw), eV per atom: -0.04
ρ, g/cm3: 6.9



VASP calculation (PBE-GGA) on crystalline Cs2NaAsW at its relaxed geometry.

a = 6.592 Å, b = 6.592 Å, c = 5.634 Å
α = 90.00°, β = 90.00°, γ = 90.00°
Sites, in units of the cell vectors:
Cs1 0.000 0.500 0.000
Cs2 0.500 0.000 0.000
Na1 0.000 0.000 0.000
As1 0.500 0.500 0.500
W1 0.000 0.000 0.500

## Properties
Space-group type: P4/mmm (123)
ρ, g/cm3: 3.7
Formation energy, eV per atom: 1.5771



VASP calculation (PBE-GGA) on crystalline TaZnP2O at its relaxed geometry.

a = 4.950 Å, b = 4.950 Å, c = 3.856 Å
α = 90.00°, β = 90.00°, γ = 90.00°
Sites, in units of the cell vectors:
Ta1 0.000 0.000 0.000
Zn1 0.500 0.500 0.500
P1 0.000 0.500 0.000
P2 0.500 0.000 0.000
O1 0.000 0.000 0.500

## Properties
Space-group type: P4/mmm (123)
Excess energy over the best structure of this formula in the dataset, meV per atom: 0.0
ΔE_f (raw), eV per atom: -0.38
ρ, g/cm3: 5.7



VASP calculation (PBE-GGA) on crystalline Li2YPt2 at its relaxed geometry.

a = 7.006 Å, b = 7.006 Å, c = 7.006 Å
α = 149.11°, β = 149.11°, γ = 44.26°
Sites, in units of the cell vectors:
Li1 0.250 0.750 0.500
Li2 0.750 0.250 0.500
Y1 0.000 0.000 0.000
Pt1 0.393 0.393 0.000
Pt2 0.607 0.607 0.000

## Properties
Space-group type: I4/mmm (139)
Excess energy over the best structure of this formula in the dataset, meV per atom: 0.0
ρ, g/cm3: 9.1
Formation energy, eV per atom: -0.7637



VASP calculation (PBE-GGA) on crystalline PrDy6Te8 at its relaxed geometry.

a = 8.692 Å, b = 8.692 Å, c = 8.692 Å
α = 60.00°, β = 60.00°, γ = 60.00°
Sites, in units of the cell vectors:
Pr1 0.000 0.000 0.000
Dy1 0.000 0.000 0.500
Dy2 0.000 0.500 0.000
Dy3 0.000 0.500 0.500
Dy4 0.500 0.000 0.000
Dy5 0.500 0.000 0.500
Dy6 0.500 0.500 0.000
Te1 0.250 0.250 0.250
Te2 0.263 0.263 0.737
Te3 0.263 0.737 0.263
Te4 0.263 0.737 0.737
Te5 0.737 0.263 0.263
Te6 0.737 0.263 0.737
Te7 0.737 0.737 0.263
Te8 0.750 0.750 0.750

## Properties
Space-group type: Fm-3m (225)
Excess energy over the best structure of this formula in the dataset, meV per atom: 0.0
ΔE_f (raw), eV per atom: -1.37
ρ, g/cm3: 7.6



VASP calculation (PBE-GGA) on crystalline SrMn2Sb at its relaxed geometry.

a = 3.656 Å, b = 4.261 Å, c = 6.750 Å
α = 90.00°, β = 105.65°, γ = 90.00°
Sites, in units of the cell vectors:
Sr1 0.000 0.000 0.000
Mn1 0.240 0.000 0.478
Mn2 0.694 0.500 0.387
Sb1 0.361 0.500 0.721

## Properties
Space-group type: Pm (6)
ΔE_f (raw), eV per atom: 0.21
ρ, g/cm3: 5.2